The following is a PBE calculation of Sr6Tl2S after structural relaxation, from Alexandria.

a = 7.5415 Å, b = 8.7139 Å, c = 13.3335 Å
α = 90.00°, β = 123.29°, γ = 90.00°
With the nearest neighbours (Å) after each atom.
Element x y z (fractional)
Sr 0.1163 0.1750 0.4408  1 S 2.97
Sr 0.1163 0.3250 0.9408  1 S 2.97
Sr 0.2825 0.6909 0.4418  1 S 3.02
Sr 0.2825 0.8091 0.9418  1 S 3.02
Sr 0.3668 0.0349 0.2480  1 S 2.95
Sr 0.3668 0.4651 0.7480  1 S 2.95
Sr 0.6332 0.5349 0.2520  1 S 2.95
Sr 0.6332 0.9651 0.7520  1 S 2.95
Sr 0.7175 0.1909 0.0582  1 S 3.02
Sr 0.7175 0.3091 0.5582  1 S 3.02
Sr 0.8837 0.6750 0.0592  1 S 2.97
Sr 0.8837 0.8250 0.5592  1 S 2.97
Tl 0.2112 0.1028 0.7518  6 Sr 3.38-3.63
Tl 0.2112 0.3972 0.2518  6 Sr 3.38-3.63
Tl 0.7888 0.6028 0.7482  6 Sr 3.38-3.63
Tl 0.7888 0.8972 0.2482  6 Sr 3.38-3.63
S 0.5000 0.0000 0.5000  6 Sr 2.95-3.02
S 0.5000 0.5000 0.0000  6 Sr 2.95-3.02

uncorrected formation energy: -5.850 eV per formula unit
electronic total energy: -2.756 eV per atom
calculated volume: 366.2 Å³/f.u.
M_tot: 0.0564 μB/atom
N(E_F): 9.06 states/eV/f.u.